# Ba2Te

A relaxed Ba2Te crystal (PBE-GGA, Alexandria via LeMat-Bulk).

The formation energy (no corrections) is -308 kJ/mol of formula units. The value obtained for the density of states at the Fermi level is 0.831 states/eV/atom. Its space-group type is Cmc2_1.

Lattice parameters (Å, degrees): 8.2372 8.2372 8.2449 90.00 90.00 147.94
Fractional coordinates of all 6 atoms:
Ba 0.7710 0.2290 0.8965
Ba 0.2290 0.7710 0.3965
Ba 0.5177 0.4823 0.7410
Ba 0.4823 0.5177 0.2410
Te 0.8904 0.1096 0.5311
Te 0.1096 0.8904 0.0311